The following is a PBE calculation of crystalline Ho2HgAu at its relaxed geometry, from the Alexandria database. Values from VASP.

```
&SYSTEM
  ibrav = 0, nat = 4, ntyp = 3
/
ATOMIC_SPECIES
Hg 200.59 Hg.upf
Ho 164.93 Ho.upf
Au 196.97 Au.upf
CELL_PARAMETERS angstrom
3.969 0.000 0.000
1.984 3.437 0.000
1.984 1.146 7.942
ATOMIC_POSITIONS crystal
Hg 0.500 0.500 0.500
Ho 0.077 0.077 0.770
Ho 0.257 0.257 0.228
Au 0.666 0.666 0.002
```

- Energy relative to the elements: -0.531 eV/atom
- Raw total energy: -3.715 eV per atom
- Fermi-level density of states: 2.544 states/eV per cell
- Crystal system: trigonal

The following is a PBE calculation of crystalline SrSeO2 at its relaxed geometry, from the Alexandria database. Values from VASP.

```
&SYSTEM
  ibrav = 0, nat = 4, ntyp = 3
/
ATOMIC_SPECIES
O 16.00 O.upf
Se 78.96 Se.upf
Sr 87.62 Sr.upf
CELL_PARAMETERS angstrom
0.401 2.777 3.919
0.663 -1.079 4.651
3.685 0.819 2.996
ATOMIC_POSITIONS crystal
O 0.782 0.782 0.782
Se 0.500 0.500 0.500
O 0.218 0.218 0.218
Sr 0.000 0.000 0.000
```

- Raw total energy: -4.878 eV per atom
- Fermi-level density of states: 0.000 states/eV per cell
- Crystal system: trigonal
- E_form (uncorrected): -1.108 eV per atom

The following is a PBE calculation of crystalline Pm2In3Ni at its relaxed geometry, from the Alexandria database. Values from VASP.

```
&SYSTEM
  ibrav = 0, nat = 6, ntyp = 3
/
ATOMIC_SPECIES
Ni 58.69 Ni.upf
In 114.82 In.upf
Pm 145.00 Pm.upf
CELL_PARAMETERS angstrom
-3.113 -3.557 0.874
2.495 -5.464 -0.134
-0.209 -1.623 5.868
ATOMIC_POSITIONS crystal
Ni 0.184 0.360 0.273
In 0.162 0.752 0.923
In 0.813 0.246 0.128
In 0.866 0.610 0.657
Pm 0.437 0.823 0.304
Pm 0.538 0.208 0.716
```

- Energy relative to the elements: -0.429 eV/atom
- Relative energy among the computed polymorphs: 0.0 meV per atom
- Raw total energy: -4.346 eV per atom
- Fermi-level density of states: 3.408 states/eV per cell
- Crystal system: monoclinic

The following is a PBE calculation of crystalline SrTe2Cl at its relaxed geometry, from the Alexandria database. Values from VASP.

```
&SYSTEM
  ibrav = 0, nat = 4, ntyp = 3
/
ATOMIC_SPECIES
Te 127.60 Te.upf
Sr 87.62 Sr.upf
Cl 35.45 Cl.upf
CELL_PARAMETERS angstrom
-4.256 -0.320 -0.722
-0.517 -1.858 3.875
-0.999 6.523 2.995
ATOMIC_POSITIONS crystal
Te 0.500 0.500 0.145
Sr 0.500 0.500 0.692
Cl 0.000 0.000 0.581
Te 0.000 0.000 0.082
```

- Relative energy among the computed polymorphs: 162.9 meV per atom
- Raw total energy: -3.536 eV per atom
- Fermi-level density of states: 1.568 states/eV per cell
- Crystal system: tetragonal
- E_form (uncorrected): -1.083 eV per atom

The following is a PBE calculation of crystalline RbLiTm2Cl8 at its relaxed geometry, from the Alexandria database. Values from VASP.

```
&SYSTEM
  ibrav = 0, nat = 12, ntyp = 4
/
ATOMIC_SPECIES
Tm 168.93 Tm.upf
Li 6.94 Li.upf
Cl 35.45 Cl.upf
Rb 85.47 Rb.upf
CELL_PARAMETERS angstrom
6.838 0.388 -0.006
0.504 6.654 -0.008
0.007 0.010 8.203
ATOMIC_POSITIONS crystal
Tm 0.500 0.500 0.240
Li 0.000 0.000 0.000
Cl 0.652 0.698 0.000
Cl 0.639 0.687 0.500
Cl 0.193 0.762 0.210
Cl 0.348 0.302 0.000
Tm 0.500 0.500 0.760
Cl 0.192 0.762 0.790
Cl 0.361 0.313 0.500
Cl 0.807 0.238 0.790
Rb 0.000 0.000 0.500
Cl 0.808 0.238 0.210
```

- Raw total energy: -4.324 eV per atom
- Fermi-level density of states: 0.000 states/eV per cell
- Crystal system: monoclinic
- E_form (uncorrected): -2.107 eV per atom

The following is a PBE calculation of crystalline Ca3YRh at its relaxed geometry, from the Alexandria database. Values from VASP.

```
&SYSTEM
  ibrav = 0, nat = 5, ntyp = 3
/
ATOMIC_SPECIES
Rh 102.91 Rh.upf
Ca 40.08 Ca.upf
Y 88.91 Y.upf
CELL_PARAMETERS angstrom
5.752 0.000 0.000
0.000 5.752 0.000
0.000 0.000 5.752
ATOMIC_POSITIONS crystal
Rh 0.500 0.500 0.500
Ca 0.000 0.000 0.500
Y 0.000 0.000 0.000
Ca 0.000 0.500 0.000
Ca 0.500 0.000 0.000
```

- Energy relative to the elements: 1.434 eV/atom
- Relative energy among the computed polymorphs: 1470.4 meV per atom
- Raw total energy: -2.530 eV per atom
- Fermi-level density of states: 3.640 states/eV per cell
- Crystal system: cubic

The following is a PBE calculation of crystalline BeIr2Rh at its relaxed geometry, from the Alexandria database. Values from VASP.

```
&SYSTEM
  ibrav = 0, nat = 8, ntyp = 3
/
ATOMIC_SPECIES
Be 9.01 Be.upf
Ir 192.22 Ir.upf
Rh 102.91 Rh.upf
CELL_PARAMETERS angstrom
3.668 0.000 0.000
0.000 3.668 0.000
1.834 1.834 8.683
ATOMIC_POSITIONS crystal
Be 0.250 0.750 0.500
Be 0.500 0.500 0.000
Ir 0.141 0.625 0.250
Ir 0.875 0.859 0.750
Ir 0.609 0.125 0.250
Rh 0.000 0.000 0.000
Ir 0.375 0.391 0.750
Rh 0.750 0.250 0.500
```

- Energy relative to the elements: 0.358 eV/atom
- Raw total energy: -6.841 eV per atom
- Fermi-level density of states: 9.204 states/eV per cell
- Crystal system: tetragonal

The following is a PBE calculation of crystalline PrInAu2 at its relaxed geometry, from the Alexandria database. Values from VASP.

```
&SYSTEM
  ibrav = 0, nat = 4, ntyp = 3
/
ATOMIC_SPECIES
Au 196.97 Au.upf
In 114.82 In.upf
Pr 140.91 Pr.upf
CELL_PARAMETERS angstrom
-2.592 -2.002 -3.866
-4.483 -2.210 0.830
-4.258 2.221 -1.616
ATOMIC_POSITIONS crystal
Au 0.250 0.250 0.250
Au 0.750 0.750 0.750
In 0.000 0.000 0.000
Pr 0.500 0.500 0.500
```

- Energy relative to the elements: -0.676 eV/atom
- Raw total energy: -4.194 eV per atom
- Fermi-level density of states: 1.757 states/eV per cell
- Crystal system: cubic

The following is a PBE calculation of crystalline Li2Nd2Ag3 at its relaxed geometry, from the Alexandria database. Values from VASP.

```
&SYSTEM
  ibrav = 0, nat = 7, ntyp = 3
/
ATOMIC_SPECIES
Ag 107.87 Ag.upf
Li 6.94 Li.upf
Nd 144.24 Nd.upf
CELL_PARAMETERS angstrom
3.862 0.000 0.513
0.000 3.314 0.000
0.365 0.000 12.054
ATOMIC_POSITIONS crystal
Ag 0.171 0.000 0.658
Li 0.717 0.500 0.566
Nd 0.583 0.500 0.833
Ag 0.829 0.000 0.342
Ag 0.000 0.000 0.000
Li 0.283 0.500 0.434
Nd 0.417 0.500 0.167
```

- Energy relative to the elements: -0.158 eV/atom
- Raw total energy: -3.289 eV per atom
- Fermi-level density of states: 5.086 states/eV per cell
- Crystal system: orthorhombic

The following is a PBE calculation of crystalline AgPWCl2 at its relaxed geometry, from the Alexandria database. Values from VASP.

```
&SYSTEM
  ibrav = 0, nat = 5, ntyp = 4
/
ATOMIC_SPECIES
Cl 35.45 Cl.upf
Ag 107.87 Ag.upf
W 183.84 W.upf
P 30.97 P.upf
CELL_PARAMETERS angstrom
4.807 0.000 0.000
0.000 4.807 0.000
0.000 0.000 4.786
ATOMIC_POSITIONS crystal
Cl 0.500 0.000 0.000
Ag 0.500 0.500 0.500
Cl 0.000 0.500 0.000
W 0.000 0.000 0.000
P 0.000 0.000 0.500
```

- Relative energy among the computed polymorphs: 0.0 meV per atom
- Raw total energy: -4.667 eV per atom
- Fermi-level density of states: 3.534 states/eV per cell
- Crystal system: tetragonal
- E_form (uncorrected): 0.314 eV per atom

The following is a PBE calculation of crystalline LaTb2PrEr4 at its relaxed geometry, from the Alexandria database. Values from VASP.

```
&SYSTEM
  ibrav = 0, nat = 16, ntyp = 4
/
ATOMIC_SPECIES
Er 167.26 Er.upf
La 138.91 La.upf
Pr 140.91 Pr.upf
Tb 158.93 Tb.upf
CELL_PARAMETERS angstrom
9.191 -0.302 -3.912
0.375 10.196 0.107
-7.392 -4.918 8.531
ATOMIC_POSITIONS crystal
Er 0.742 0.248 0.995
La 0.000 0.000 0.000
Pr 0.000 0.500 0.000
La 0.500 0.500 0.500
Er 0.248 0.248 0.995
Tb 0.500 0.000 0.000
Tb 0.500 0.000 0.500
Tb 0.500 0.500 0.000
Pr 0.000 0.500 0.500
Er 0.753 0.752 0.499
Er 0.754 0.248 0.501
Tb 0.000 0.000 0.500
Er 0.259 0.752 0.005
Er 0.247 0.248 0.501
Er 0.246 0.752 0.499
Er 0.752 0.752 0.005
```

- Energy relative to the elements: 0.023 eV/atom
- Raw total energy: -4.629 eV per atom
- Fermi-level density of states: 21.885 states/eV per cell
- Crystal system: monoclinic

The following is a PBE calculation of crystalline CsLi3U2Se6 at its relaxed geometry, from the Alexandria database. Values from VASP.

```
&SYSTEM
  ibrav = 0, nat = 12, ntyp = 4
/
ATOMIC_SPECIES
U 238.03 U.upf
Se 78.96 Se.upf
Li 6.94 Li.upf
Cs 132.91 Cs.upf
CELL_PARAMETERS angstrom
-3.366 1.998 1.421
-5.872 -8.336 -2.193
3.689 -3.135 7.045
ATOMIC_POSITIONS crystal
U 0.170 0.348 0.339
U 0.830 0.652 0.661
Se 0.294 0.816 0.588
Li 0.146 0.697 0.292
Se 0.661 0.542 0.322
Se 0.993 0.704 0.987
Li 0.500 0.500 0.000
Se 0.706 0.184 0.412
Li 0.854 0.303 0.708
Se 0.007 0.296 0.013
Cs 0.500 0.000 0.000
Se 0.339 0.458 0.678
```

- Raw total energy: -5.366 eV per atom
- Fermi-level density of states: 13.152 states/eV per cell
- Crystal system: monoclinic
- E_form (uncorrected): -1.193 eV per atom

> raw total energy of number 7 (BeIr2Rh)?

-6.841 eV per atom

> Look up the Fermi-level density of states of the tenth one.

3.534 states/eV per cell

> The lowest raw total energy belongs to which entry?

BeIr2Rh